Material: Re2PtPb
Method: DFT, PBE
State: optimized geometry

Lattice parameters (Å, degrees): 2.929 4.785 4.955 90.00 90.00 90.00
Space group Pmmm (No. 47)
Asymmetric unit:
1 Re 0.000 0.000 0.000 [1 per cell]
2 Re 0.500 0.500 0.000 [1 per cell]
3 Pt 0.000 0.500 0.500 [1 per cell]
4 Pb 0.500 0.000 0.500 [1 per cell]

Calculated values
Energy of formation from the pure elements ... 17.75 kcal/mol of atoms
Calculated volume ... 69.4 Å³ per cell
Calculated total energy ... -7.891 eV per atom
Magnetic moment ... 0.00 μB per formula unit



Material: RePt4Pb
Method: DFT, PBE
State: optimized geometry

Lattice parameters (Å, degrees): 7.580 7.580 7.580 90.00 90.00 90.00
Space group F-43m (No. 216)
Asymmetric unit:
1 Re 0.000 0.000 0.000 [4 per cell]
2 Pt 0.126 0.126 0.374 [16 per cell]
3 Pb 0.250 0.250 0.750 [4 per cell]

Calculated values
Energy of formation from the pure elements ... 10.75 kcal/mol of atoms
Calculated volume ... 435.6 Å³ per cell
Calculated total energy ... -6.254 eV per atom
Magnetic moment ... 3.60 μB per formula unit



Material: RePtPb2
Method: DFT, PBE
State: optimized geometry

Lattice parameters (Å, degrees): 4.066 4.066 9.890 90.00 90.00 90.00
Space group I-4m2 (No. 119)
Asymmetric unit:
1 Re 0.000 0.000 0.000 [2 per cell]
2 Pt 0.000 0.500 0.250 [2 per cell]
3 Pb 0.000 0.000 0.500 [2 per cell]
4 Pb 0.000 0.500 0.750 [2 per cell]

Calculated values
Energy of formation from the pure elements ... 18.33 kcal/mol of atoms
Calculated volume ... 163.5 Å³ per cell
Calculated total energy ... -5.681 eV per atom
Energy above the lowest structure with this stoichiometry ... 468 meV per atom
Magnetic moment ... 1.17 μB per formula unit



Material: RePtPb
Method: DFT, PBE
State: optimized geometry

Lattice parameters (Å, degrees): 3.0408 3.0408 7.0262 90.00 90.00 120.00
Space group P3m1 (No. 156)
Asymmetric unit:
1 Re 0.0000 0.0000 0.0000 [1 per cell]
2 Pt 0.3333 0.6667 0.7165 [1 per cell]
3 Pb 0.6667 0.3333 0.3549 [1 per cell]

Calculated values
Energy of formation from the pure elements ... 13.99 kcal/mol of atoms
Calculated volume ... 56.3 Å³ per cell
Calculated total energy ... -6.792 eV per atom
Energy above the lowest structure with this stoichiometry ... 65 meV per atom
Magnetic moment ... 0.00 μB per formula unit



Material: RePtPb2
Method: DFT, PBE
State: optimized geometry

Lattice parameters (Å, degrees): 3.530 4.421 5.325 90.00 90.00 90.00
Space group Pmmm (No. 47)
Asymmetric unit:
1 Re 0.000 0.000 0.000 [1 per cell]
2 Pt 0.500 0.000 0.500 [1 per cell]
3 Pb 0.000 0.500 0.500 [1 per cell]
4 Pb 0.500 0.500 0.000 [1 per cell]

Calculated values
Energy of formation from the pure elements ... 19.20 kcal/mol of atoms
Calculated volume ... 83.1 Å³ per cell
Calculated total energy ... -5.644 eV per atom
Energy above the lowest structure with this stoichiometry ... 505 meV per atom
Magnetic moment ... 0.00 μB per formula unit



Material: RePtPb2
Method: DFT, PBE
State: optimized geometry

Lattice parameters (Å, degrees): 6.763 6.773 3.481 90.00 90.00 90.00
Space group Cmmm (No. 65)
Asymmetric unit:
1 Re 0.000 0.000 0.000 [2 per cell]
2 Pt 0.000 0.500 0.000 [2 per cell]
3 Pb 0.250 0.250 0.500 [4 per cell]

Calculated values
Energy of formation from the pure elements ... 16.11 kcal/mol of atoms
Calculated volume ... 159.5 Å³ per cell
Calculated total energy ... -5.778 eV per atom
Energy above the lowest structure with this stoichiometry ... 371 meV per atom
Magnetic moment ... 0.00 μB per formula unit



Material: RePtPb2
Method: DFT, PBE
State: optimized geometry

Lattice parameters (Å, degrees): 10.886 2.955 5.475 90.00 106.51 90.00
Space group Cm (No. 8)
Asymmetric unit:
1 Re 0.000 0.000 0.000 [2 per cell]
2 Pt 0.328 0.000 0.668 [2 per cell]
3 Pb 0.067 0.500 0.520 [2 per cell]
4 Pb 0.260 0.500 0.147 [2 per cell]

Calculated values
Energy of formation from the pure elements ... 12.92 kcal/mol of atoms
Calculated volume ... 168.9 Å³ per cell
Calculated total energy ... -5.916 eV per atom
Energy above the lowest structure with this stoichiometry ... 233 meV per atom
Magnetic moment ... 0.00 μB per formula unit



Material: RePtPb2
Method: DFT, PBE
State: optimized geometry

Lattice parameters (Å, degrees): 6.953 6.953 6.953 90.00 90.00 90.00
Space group F-43m (No. 216)
Asymmetric unit:
1 Re 0.000 0.000 0.000 [4 per cell]
2 Pt 0.250 0.250 0.250 [4 per cell]
3 Pb 0.000 0.000 0.500 [4 per cell]
4 Pb 0.250 0.250 0.750 [4 per cell]

Calculated values
Energy of formation from the pure elements ... 21.42 kcal/mol of atoms
Calculated volume ... 336.2 Å³ per cell
Calculated total energy ... -5.548 eV per atom
Energy above the lowest structure with this stoichiometry ... 601 meV per atom
Magnetic moment ... 1.33 μB per formula unit



Material: RePtPb2
Method: DFT, PBE
State: optimized geometry

Lattice parameters (Å, degrees): 3.2326 3.2326 27.0074 90.00 90.00 120.00
Space group R-3m (No. 166, hexagonal axes)
Asymmetric unit:
1 Re 0.0000 0.0000 0.0000 [3 per cell]
2 Pt 0.0000 0.0000 0.5000 [3 per cell]
3 Pb 0.0000 0.0000 0.2511 [6 per cell]

Calculated values
Energy of formation from the pure elements ... 16.82 kcal/mol of atoms
Calculated volume ... 244.4 Å³ per cell
Calculated total energy ... -5.747 eV per atom
Energy above the lowest structure with this stoichiometry ... 402 meV per atom
Magnetic moment ... 0.33 μB per formula unit



Material: Re2PtPb
Method: DFT, PBE
State: optimized geometry

Lattice parameters (Å, degrees): 2.9209 2.9209 28.6743 90.00 90.00 120.00
Space group R3m (No. 160, hexagonal axes)
Asymmetric unit:
1 Re 0.0000 0.0000 0.0000 [3 per cell]
2 Re 0.0000 0.0000 0.2620 [3 per cell]
3 Pt 0.0000 0.0000 0.7451 [3 per cell]
4 Pb 0.0000 0.0000 0.5030 [3 per cell]

Calculated values
Energy of formation from the pure elements ... 9.52 kcal/mol of atoms
Calculated volume ... 211.9 Å³ per cell
Calculated total energy ... -8.248 eV per atom
Magnetic moment ... 0.00 μB per formula unit



Material: Re2PtPb
Method: DFT, PBE
State: optimized geometry

Lattice parameters (Å, degrees): 4.147 4.147 7.877 90.00 90.00 90.00
Space group I-4m2 (No. 119)
Asymmetric unit:
1 Re 0.000 0.000 0.000 [2 per cell]
2 Re 0.000 0.500 0.250 [2 per cell]
3 Pt 0.000 0.000 0.500 [2 per cell]
4 Pb 0.000 0.500 0.750 [2 per cell]

Calculated values
Energy of formation from the pure elements ... 15.59 kcal/mol of atoms
Calculated volume ... 135.5 Å³ per cell
Calculated total energy ... -7.985 eV per atom
Magnetic moment ... 0.22 μB per formula unit



Material: RePtPb
Method: DFT, PBE
State: optimized geometry

Lattice parameters (Å, degrees): 2.970 2.970 13.388 90.00 90.00 90.00
Space group I4mm (No. 107)
Asymmetric unit:
1 Re 0.000 0.000 0.000 [2 per cell]
2 Pt 0.000 0.000 0.379 [2 per cell]
3 Pb 0.000 0.000 0.677 [2 per cell]

Calculated values
Energy of formation from the pure elements ... 12.49 kcal/mol of atoms
Calculated volume ... 118.1 Å³ per cell
Calculated total energy ... -6.858 eV per atom
Energy above the lowest structure with this stoichiometry ... 0 meV per atom
Magnetic moment ... 0.00 μB per formula unit



Material: Re2PtPb
Method: DFT, PBE
State: optimized geometry

Lattice parameters (Å, degrees): 4.072 4.072 8.158 90.00 90.00 90.00
Space group I4/mmm (No. 139)
Asymmetric unit:
1 Re 0.000 0.500 0.250 [4 per cell]
2 Pt 0.000 0.000 0.000 [2 per cell]
3 Pb 0.000 0.000 0.500 [2 per cell]

Calculated values
Energy of formation from the pure elements ... 18.06 kcal/mol of atoms
Calculated volume ... 135.3 Å³ per cell
Calculated total energy ... -7.878 eV per atom
Magnetic moment ... 0.00 μB per formula unit



Material: Re2PtPb
Method: DFT, PBE
State: optimized geometry

Lattice parameters (Å, degrees): 8.970 3.209 5.129 90.00 101.71 90.00
Space group Cm (No. 8)
Asymmetric unit:
1 Re 0.000 0.000 0.000 [2 per cell]
2 Re 0.218 0.500 0.136 [2 per cell]
3 Pt 0.469 0.000 0.413 [2 per cell]
4 Pb 0.230 0.000 0.665 [2 per cell]

Calculated values
Energy of formation from the pure elements ... 13.00 kcal/mol of atoms
Calculated volume ... 144.6 Å³ per cell
Calculated total energy ... -8.098 eV per atom
Magnetic moment ... 0.00 μB per formula unit